# Nb2CdGa2 | the Alexandria database | PBE | relaxed
data_Nb2CdGa2
_cell_length_a 4.080
_cell_length_b 4.080
_cell_length_c 11.905
_cell_angle_alpha 90.00
_cell_angle_beta 90.00
_cell_angle_gamma 90.00
_space_group_name_H-M_alt 'I 4/m m m'
_space_group_IT_number 139
_space_group_name_Hall '-I 4 2'
loop_
_atom_site_label
_atom_site_fract_x
_atom_site_fract_y
_atom_site_fract_z
Nb1 0.000 0.500 0.250
Cd1 0.000 0.000 0.000
Ga1 0.000 0.000 0.400
# Size of the total moment in μB per formula unit: 0.00
# Final energy in eV/f.u.: -25.9